Below is Li2ZrAl2 after structural relaxation, with properties calculated at the GGA-PBE level.

```
5
Lattice="3.7787 0.0000 0.0000 0.0000 3.7787 0.0000 1.8894 1.8894 6.3409" Properties=species:S:1:pos:R:3 pbc="T T T"
Al 1.8894 1.8894 1.2505
Al 3.7787 3.7787 5.0904
Zr 0.0000 0.0000 0.0000
Li 3.7787 1.8894 3.1705
Li 1.8894 3.7787 3.1705
```

Computed properties:
The calculation puts the uncorrected energy at -4.096 eV per atom. As for the formation energy from the elements: -0.124 eV/atom.